(1)
The following is a DFT calculation (PBE-GGA) of an optimized crystal structure of CdFe2Pd9.

Output
The value obtained for the formation energy is -0.14 eV/atom. The symmetry is P4/mmm, No. 123. The value obtained for the uncorrected energy is -0.20307 hartree per atom. As for the crystal system: tetragonal. The spin magnetization is 8.67 Bohr magnetons per cell.

Unit cell a=3.943 b=3.943 c=11.794 alpha=90.00 beta=90.00 gamma=90.00
Atoms (fractional coordinates):
Cd  0.000  0.000  0.000
Fe  0.000  0.000  0.334
Fe  0.000  0.000  0.666
Pd  0.000  0.500  0.179
Pd  0.000  0.500  0.500
Pd  0.000  0.500  0.821
Pd  0.500  0.000  0.179
Pd  0.500  0.000  0.500
Pd  0.500  0.000  0.821
Pd  0.500  0.500  0.000
Pd  0.500  0.500  0.339
Pd  0.500  0.500  0.661

---

(2)
The following is a DFT calculation (PBE-GGA) of an optimized crystal structure of BaSb2.

Output
The symmetry is C2/m, No. 12. The value obtained for the uncorrected energy is -0.14864 hartree per atom. For the uncorrected formation energy, the calculation gives -656 meV/atom. As for the crystal system: monoclinic. The spin magnetization is 0.00 Bohr magnetons per cell.

Unit cell a=12.730 b=4.450 c=8.176 alpha=90.00 beta=96.97 gamma=90.00
Atoms (fractional coordinates):
Ba  0.113  0.000  0.283
Ba  0.387  0.500  0.717
Ba  0.613  0.500  0.283
Ba  0.887  0.000  0.717
Sb  0.105  0.500  0.646
Sb  0.183  0.000  0.870
Sb  0.317  0.500  0.130
Sb  0.395  0.000  0.354
Sb  0.605  0.000  0.646
Sb  0.683  0.500  0.870
Sb  0.817  0.000  0.130
Sb  0.895  0.500  0.354

---

Please write out number 2 again, unchanged.
The following is a DFT calculation (PBE-GGA) of an optimized crystal structure of BaSb2.

Output
The symmetry is C2/m, No. 12. The value obtained for the uncorrected energy is -0.14864 hartree per atom. For the uncorrected formation energy, the calculation gives -656 meV/atom. As for the crystal system: monoclinic. The spin magnetization is 0.00 Bohr magnetons per cell.

Unit cell a=12.730 b=4.450 c=8.176 alpha=90.00 beta=96.97 gamma=90.00
Atoms (fractional coordinates):
Ba  0.113  0.000  0.283
Ba  0.387  0.500  0.717
Ba  0.613  0.500  0.283
Ba  0.887  0.000  0.717
Sb  0.105  0.500  0.646
Sb  0.183  0.000  0.870
Sb  0.317  0.500  0.130
Sb  0.395  0.000  0.354
Sb  0.605  0.000  0.646
Sb  0.683  0.500  0.870
Sb  0.817  0.000  0.130
Sb  0.895  0.500  0.354

---

Number 2 is which compound?
BaSb2

---

Which of these has the highest spin magnetization?
CdFe2Pd9

---

The highest spin magnetization belongs to which entry?
CdFe2Pd9